Crystalline Mg2IrRh at its relaxed geometry. Source: Alexandria via LeMat-Bulk, functional GGA-PBEsol.

Fermi-level density of states in states/eV/atom: 0.525
Spin magnetization in μB per formula unit: 0.00
ΔE_f in meV/atom: -180.5
Final energy in eV/atom: -5.529

abc: 3.0214 4.6713 5.0699
angles: 117.43 107.34 90.00
With the nearest neighbours (Å) after each atom.
Fractional positions:
Mg: 0.7527 0.7527 0.5055  2 Rh 2.58, 2 Ir 2.62, 4 Mg 2.78
Mg: 0.2473 0.2473 0.4945  2 Rh 2.58, 2 Ir 2.62, 4 Mg 2.78
Ir: 0.0000 0.5000 0.0000  4 Mg 2.62, 4 Rh 2.78
Rh: 0.5000 0.0000 0.0000  4 Mg 2.58, 4 Ir 2.78